VASP calculation (PBE with a Hubbard U) on a geometry-optimized K2Li3MnF12 structure.

Values from the calculation:
V: 252.3 Å³/f.u.
E: -4.266 eV per atom
Crystal system: trigonal
Magnetic moment: 6.00 μB per formula unit

a = 7.335 Å, b = 7.335 Å, c = 7.335 Å
α = 55.86°, β = 55.86°, γ = 55.86°
Site moments in Bohr magnetons follow the coordinates.
Sites, in units of the cell vectors:
Li (0.000, 0.000, 0.500)  0.00
K (0.381, 0.381, 0.381)  0.00
F (0.346, 0.902, 0.346)  0.41
F (0.902, 0.346, 0.346)  0.41
F (0.654, 0.098, 0.654)  0.41
F (0.927, 0.927, 0.312)  0.03
K (0.619, 0.619, 0.619)  0.00
F (0.654, 0.654, 0.098)  0.41
F (0.073, 0.688, 0.073)  0.03
F (0.927, 0.312, 0.927)  0.03
F (0.312, 0.927, 0.927)  0.03
Li (0.000, 0.500, 0.000)  0.00
F (0.346, 0.346, 0.902)  0.41
F (0.073, 0.073, 0.688)  0.03
F (0.688, 0.073, 0.073)  0.03
Li (0.500, 0.000, 0.000)  0.00
Mn (0.000, 0.000, 0.000)  2.99
F (0.098, 0.654, 0.654)  0.41